[1]
Entry from Alexandria via LeMat-Bulk: a geometry-optimized RbSrTl2Os structure (PBE-GGA).

Cell: 5.9971 5.9971 5.1527 Å, 90.00 90.00 90.00°
Element x y z (fractional)
Rb 0.0000 0.0000 0.0000
Sr 0.5000 0.5000 0.5000
Tl 0.0000 0.5000 0.0000
Tl 0.5000 0.0000 0.0000
Os 0.0000 0.0000 0.5000

Calculated values
Space-group type   P4/mmm (123)
DFT formation energy   1.49 eV per atom

=====

[2]
Entry from Alexandria via LeMat-Bulk: a geometry-optimized TbNp5P6 structure (PBE-GGA).

Cell: 6.8767 6.8767 6.8813 Å, 99.59 99.59 120.05°
Element x y z (fractional)
Tb 0.0000 0.0000 0.0000
Np 0.1646 0.8354 0.5000
Np 0.3329 0.6671 0.0000
Np 0.5000 0.5000 0.5000
Np 0.6671 0.3329 0.0000
Np 0.8354 0.1646 0.5000
P 0.0843 0.4224 0.2526
P 0.2547 0.2547 0.7488
P 0.4224 0.0843 0.2526
P 0.5776 0.9157 0.7474
P 0.7453 0.7453 0.2512
P 0.9157 0.5776 0.7474

Calculated values
Space-group type   C2/m (12)
DFT formation energy   -0.99 eV per atom

=====

[3]
Entry from Alexandria via LeMat-Bulk: a geometry-optimized MgZr2Pb structure (PBE-GGA).

Cell: 3.1732 3.1732 9.2387 Å, 90.00 90.00 90.00°
Element x y z (fractional)
Mg 0.0000 0.0000 0.0000
Zr 0.5000 0.5000 0.2462
Zr 0.5000 0.5000 0.7538
Pb 0.0000 0.0000 0.5000

Calculated values
Space-group type   P4/mmm (123)
DFT formation energy   0.01 eV per atom

=====

[4]
Entry from Alexandria via LeMat-Bulk: a geometry-optimized Ca3CdHg4 structure (PBE-GGA).

Cell: 10.3418 7.7816 5.1710 Å, 90.00 90.00 90.00°
Element x y z (fractional)
Ca 0.0000 0.0000 0.0000
Ca 0.2500 0.0000 0.4991
Ca 0.2500 0.5000 0.4986
Ca 0.5000 0.0000 0.0000
Ca 0.7500 0.0000 0.5009
Ca 0.7500 0.5000 0.5014
Cd 0.0000 0.5000 0.0000
Cd 0.5000 0.5000 0.0000
Hg 0.0000 0.2514 0.5000
Hg 0.0000 0.7486 0.5000
Hg 0.2500 0.2514 0.9988
Hg 0.2500 0.7486 0.9988
Hg 0.5000 0.2514 0.5000
Hg 0.5000 0.7486 0.5000
Hg 0.7500 0.2514 0.0012
Hg 0.7500 0.7486 0.0012

Calculated values
Space-group type   Pmma (51)
DFT formation energy   -0.45 eV per atom
Polymorph energy (0 for the lowest one)   0.000 eV/atom

=====

[5]
Entry from Alexandria via LeMat-Bulk: a geometry-optimized Ni4SnB structure (PBE-GGA).

Cell: 6.0969 6.0969 4.3071 Å, 100.12 100.12 110.91°
Element x y z (fractional)
Ni 0.0532 0.7286 0.9346
Ni 0.1777 0.3381 0.6371
Ni 0.2714 0.9468 0.5654
Ni 0.3381 0.1777 0.1371
Ni 0.6619 0.8223 0.8629
Ni 0.7286 0.0532 0.4346
Ni 0.8223 0.6619 0.3629
Ni 0.9468 0.2714 0.0654
Sn 0.3739 0.6261 0.2500
Sn 0.6261 0.3739 0.7500
B 0.0029 0.9971 0.2500
B 0.9971 0.0029 0.7500

Calculated values
Space-group type   C2/c (15)
DFT formation energy   -0.17 eV per atom

=====

[6]
Entry from Alexandria via LeMat-Bulk: a geometry-optimized LaCeTm6 structure (PBE-GGA).

Cell: 6.4068 6.5692 7.4057 Å, 114.87 115.49 90.28°
Element x y z (fractional)
La 0.0000 0.0000 0.0000
Ce 0.5000 0.0000 0.0000
Tm 0.2400 0.5614 0.4793
Tm 0.2521 0.4992 0.9988
Tm 0.2700 0.0878 0.5390
Tm 0.7300 0.9122 0.4610
Tm 0.7479 0.5008 0.0012
Tm 0.7600 0.4386 0.5207

Calculated values
Space-group type   P-1 (2)
DFT formation energy   0.22 eV per atom

=====

[7]
Entry from Alexandria via LeMat-Bulk: a geometry-optimized SrAg2Os structure (PBE-GGA).

Cell: 3.5185 3.5185 6.8562 Å, 90.00 90.00 90.00°
Element x y z (fractional)
Sr 0.0000 0.0000 0.0000
Ag 0.5000 0.5000 0.3028
Ag 0.5000 0.5000 0.6972
Os 0.0000 0.0000 0.5000

Calculated values
Space-group type   P4/mmm (123)
DFT formation energy   0.69 eV per atom
Polymorph energy (0 for the lowest one)   0.086 eV/atom

=====

[8]
Entry from Alexandria via LeMat-Bulk: a geometry-optimized CaPa2ZnN4 structure (PBE-GGA).

Cell: 6.0846 6.0846 11.6915 Å, 90.00 90.00 145.92°
Element x y z (fractional)
Ca 0.0900 0.9100 0.7500
Ca 0.9100 0.0900 0.2500
Pa 0.3723 0.6277 0.5535
Pa 0.3723 0.6277 0.9465
Pa 0.6277 0.3723 0.0535
Pa 0.6277 0.3723 0.4465
Zn 0.1745 0.8255 0.2500
Zn 0.8255 0.1745 0.7500
N 0.0000 0.0000 0.0000
N 0.0000 0.0000 0.5000
N 0.2627 0.7373 0.1054
N 0.2627 0.7373 0.3946
N 0.4305 0.5695 0.7500
N 0.5695 0.4305 0.2500
N 0.7373 0.2627 0.6054
N 0.7373 0.2627 0.8946

Calculated values
Space-group type   Cmcm (63)
Uncorrected formation energy   -1.113 eV per atom

=====

[9]
Entry from Alexandria via LeMat-Bulk: a geometry-optimized Hf5In4Au structure (PBE-GGA).

Cell: 3.1157 3.1157 21.7985 Å, 90.00 90.00 90.00°
Element x y z (fractional)
Hf 0.0000 0.0000 0.0000
Hf 0.0000 0.0000 0.2047
Hf 0.0000 0.0000 0.4088
Hf 0.0000 0.0000 0.5912
Hf 0.0000 0.0000 0.7953
In 0.5000 0.5000 0.1023
In 0.5000 0.5000 0.3068
In 0.5000 0.5000 0.6932
In 0.5000 0.5000 0.8977
Au 0.5000 0.5000 0.5000

Calculated values
Space-group type   P4/mmm (123)
DFT formation energy   -0.21 eV per atom

=====

The records above give, respectively, size of the total moment values of 0.786, 18.610, 0.000, 0.000, 0.000, 1.427, 0.564, 0.971, 0.000 μB/f.u..
The records above give, respectively, DOS at the Fermi energy values of 4.08, 36.91, 3.16, 10.60, 5.46, 15.86, 4.06, 9.41, 8.31 states/eV per cell.